Record 1
Here is a geometry-optimized KAc3Pr2Te6 structure from Alexandria via LeMat-Bulk. Energies are from PBE-GGA.

The value obtained for the formation energy (no corrections) is -1455 meV per atom.

The space group is C2/m (No. 12) and the conventional cell measures 20.413, 4.677 and 9.411 Å, with angles of 90.00, 102.66 and 90.00 degrees. The inequivalent atoms are K at (0.000, 0.000, 0.000), Ac at (0.000, 0.000, 0.500), Ac at (0.163, 0.500, 0.829), Pr at (0.172, 0.500, 0.348), Te at (0.006, 0.500, 0.256), Te at (0.167, 0.000, 0.581) and Te at (0.170, 0.000, 0.095).

Record 2
Here is a geometry-optimized Dy2YEr2 structure from Alexandria via LeMat-Bulk. Energies are from PBE-GGA.

The relative energy among the computed polymorphs is 451 meV per atom. Its energy relative to the elements is 527.9 meV/atom.

The space group is I4/mmm (No. 139) and the conventional cell measures 5.851, 5.851 and 9.518 Å, with angles of 90.00, 90.00 and 90.00 degrees. The inequivalent atoms are Dy at (0.000, 0.000, 0.146), Y at (0.000, 0.000, 0.500) and Er at (0.000, 0.500, 0.250).

Record 3
Here is a geometry-optimized Zr4SiSn structure from Alexandria via LeMat-Bulk. Energies are from PBE-GGA.

The value obtained for the formation energy (no corrections) is -601 meV per atom.

The space group is P4/mcc (No. 124) and the conventional cell measures 6.773, 6.773 and 5.561 Å, with angles of 90.00, 90.00 and 90.00 degrees. The inequivalent atoms are Zr at (0.141, 0.332, 0.000), Si at (0.000, 0.000, 0.250) and Sn at (0.500, 0.500, 0.250).

Record 4
Here is a geometry-optimized CoRe2Cl structure from Alexandria via LeMat-Bulk. Energies are from PBE-GGA.

The relative energy among the computed polymorphs is 0 meV per atom. The value obtained for the formation energy (no corrections) is 368 meV per atom.

The space group is R3m (No. 160, hexagonal axes) and the conventional cell measures 2.8375, 2.8375 and 24.7798 Å, with angles of 90.00, 90.00 and 120.00 degrees. The inequivalent atoms are Co at (0.0000, 0.0000, 0.0000), Re at (0.0000, 0.0000, 0.2492), Re at (0.0000, 0.0000, 0.4981) and Cl at (0.0000, 0.0000, 0.7394).

Record 5
Here is a geometry-optimized LaFeCo2 structure from Alexandria via LeMat-Bulk. Energies are from PBE-GGA.

Its energy relative to the elements is 597.6 meV/atom.

The space group is R-3m (No. 166, hexagonal axes) and the conventional cell measures 2.9994, 2.9994 and 25.3539 Å, with angles of 90.00, 90.00 and 120.00 degrees. The inequivalent atoms are La at (0.0000, 0.0000, 0.0000), Fe at (0.0000, 0.0000, 0.5000) and Co at (0.0000, 0.0000, 0.2342).

Record 6
Here is a geometry-optimized Be2NiTe structure from Alexandria via LeMat-Bulk. Energies are from PBE-GGA.

The value obtained for the formation energy (no corrections) is 156 meV per atom.

The space group is Pm (No. 6) and the conventional cell measures 3.433, 3.802 and 5.004 Å, with angles of 90.00, 109.52 and 90.00 degrees. The inequivalent atoms are Be at (0.000, 0.000, 0.000), Be at (0.488, 0.500, 0.972), Ni at (0.366, 0.000, 0.725) and Te at (0.182, 0.500, 0.370).

Q: Which Fermi-level density of states values were calculated for the entries above? A: 9.507 14.176 6.211 12.945 18.776 0.896, in states/eV per cell.
Q: Which V values were calculated for the entries above? A: 877 326 255 173 198 62, in Å³ per cell.
Q: Which energy values were calculated for the entries above? A: -0.182 -0.163 -0.289 -0.297 -0.232 -0.145, in hartree per atom.